Crystalline InSBr3 at its relaxed geometry. Source: the Alexandria database, functional PBE. Values from VASP.

Geometry as Quantum ESPRESSO input:
```
&SYSTEM
  ibrav = 0, nat = 5, ntyp = 3
/
ATOMIC_SPECIES
S 32.06 S.upf
In 114.82 In.upf
Br 79.90 Br.upf
CELL_PARAMETERS angstrom
-5.144 -1.661 -0.840
1.810 -5.039 -1.121
-0.433 -1.332 5.287
ATOMIC_POSITIONS crystal
S 0.500 0.500 0.500
In 0.000 0.000 0.000
Br 0.000 0.500 0.000
Br 0.500 0.000 0.000
Br 0.000 0.000 0.500
```

Computed properties:
- offset from the most stable computed form (eV/atom) = 0.219
- space-group type = Pm-3m, No. 221
- volume (Å³ per cell) = 163.7